A plane-wave DFT calculation with PBE was carried out for a relaxed structure of MnNb6Al.

abc: 5.164 5.164 5.164
angles: 90.00 90.00 90.00
Sites, in units of the cell vectors:
Mn (0.000, 0.000, 0.000)
Nb (0.000, 0.245, 0.500)
Nb (0.000, 0.755, 0.500)
Nb (0.245, 0.500, 0.000)
Nb (0.500, 0.000, 0.245)
Nb (0.500, 0.000, 0.755)
Nb (0.755, 0.500, 0.000)
Al (0.500, 0.500, 0.500)

Volume in Å³/cell: 138
Energy of formation from the pure elements in eV/atom: -0.127
Calculated total energy in eV/atom: -9.29
Fermi-level density of states in states/eV/cell: 5.6

***

A plane-wave DFT calculation with PBE was carried out for a relaxed structure of MnNb12Al3.

abc: 5.190 5.193 10.333
angles: 90.00 90.00 90.00
Sites, in units of the cell vectors:
Mn (0.000, 0.000, 0.000)
Nb (0.000, 0.246, 0.244)
Nb (0.000, 0.246, 0.756)
Nb (0.000, 0.754, 0.244)
Nb (0.000, 0.754, 0.756)
Nb (0.245, 0.500, 0.000)
Nb (0.251, 0.500, 0.500)
Nb (0.500, 0.000, 0.120)
Nb (0.500, 0.000, 0.372)
Nb (0.500, 0.000, 0.628)
Nb (0.500, 0.000, 0.880)
Nb (0.749, 0.500, 0.500)
Nb (0.755, 0.500, 0.000)
Al (0.000, 0.000, 0.500)
Al (0.500, 0.500, 0.251)
Al (0.500, 0.500, 0.749)

Volume in Å³/cell: 279
Energy of formation from the pure elements in eV/atom: -0.169
Calculated total energy in eV/atom: -9.00
Fermi-level density of states in states/eV/cell: 17.0

***

What is the energy of formation from the pure elements in the first record? -0.127 eV/atom

***

Which of these has the lowest calculated total energy? MnNb6Al

***

Copy entry 1 word for word.
A plane-wave DFT calculation with PBE was carried out for a relaxed structure of MnNb6Al.

abc: 5.164 5.164 5.164
angles: 90.00 90.00 90.00
Sites, in units of the cell vectors:
Mn (0.000, 0.000, 0.000)
Nb (0.000, 0.245, 0.500)
Nb (0.000, 0.755, 0.500)
Nb (0.245, 0.500, 0.000)
Nb (0.500, 0.000, 0.245)
Nb (0.500, 0.000, 0.755)
Nb (0.755, 0.500, 0.000)
Al (0.500, 0.500, 0.500)

Volume in Å³/cell: 138
Energy of formation from the pure elements in eV/atom: -0.127
Calculated total energy in eV/atom: -9.29
Fermi-level density of states in states/eV/cell: 5.6

***

Please write out number 2 again, unchanged.
A plane-wave DFT calculation with PBE was carried out for a relaxed structure of MnNb12Al3.

abc: 5.190 5.193 10.333
angles: 90.00 90.00 90.00
Sites, in units of the cell vectors:
Mn (0.000, 0.000, 0.000)
Nb (0.000, 0.246, 0.244)
Nb (0.000, 0.246, 0.756)
Nb (0.000, 0.754, 0.244)
Nb (0.000, 0.754, 0.756)
Nb (0.245, 0.500, 0.000)
Nb (0.251, 0.500, 0.500)
Nb (0.500, 0.000, 0.120)
Nb (0.500, 0.000, 0.372)
Nb (0.500, 0.000, 0.628)
Nb (0.500, 0.000, 0.880)
Nb (0.749, 0.500, 0.500)
Nb (0.755, 0.500, 0.000)
Al (0.000, 0.000, 0.500)
Al (0.500, 0.500, 0.251)
Al (0.500, 0.500, 0.749)

Volume in Å³/cell: 279
Energy of formation from the pure elements in eV/atom: -0.169
Calculated total energy in eV/atom: -9.00
Fermi-level density of states in states/eV/cell: 17.0